The following is a PBEsol calculation of a relaxed structure of ReTc, from Alexandria via LeMat-Bulk.

The structure in POSCAR format:
```
ReTc
1.0
9.029 0.000 0.000
0.000 2.728 0.000
-0.819 0.000 4.657
Re Tc
4 4
Direct
0.125 0.000 0.372
0.375 0.500 0.628
0.625 0.500 0.372
0.875 0.000 0.628
0.125 0.500 0.877
0.375 0.000 0.123
0.625 0.000 0.877
0.875 0.500 0.123
```

Results
Energy relative to the elements: 0.062 eV per atom
Raw total energy: -12.24 eV per atom
Energy above the most stable polymorph in this dataset: 69 meV/atom
Space group: C2/m (12)

The following is a PBEsol calculation of a relaxed structure of Li2AgHg, from Alexandria via LeMat-Bulk.

The structure in POSCAR format:
```
Li2AgHg
1.0
3.021 0.000 0.000
-1.511 2.617 0.000
0.000 0.000 26.414
Li Ag Hg
6 3 3
Direct
0.000 0.000 0.247
0.000 0.000 0.753
0.333 0.667 0.419
0.333 0.667 0.914
0.667 0.333 0.086
0.667 0.333 0.581
0.000 0.000 0.500
0.333 0.667 0.167
0.667 0.333 0.833
0.000 0.000 0.000
0.333 0.667 0.667
0.667 0.333 0.333
```

Results
Energy relative to the elements: -0.183 eV per atom
Raw total energy: -2.14 eV per atom
Space group: R-3m (166)

Copy entry 1 word for word.
The following is a PBEsol calculation of a relaxed structure of ReTc, from Alexandria via LeMat-Bulk.

The structure in POSCAR format:
```
ReTc
1.0
9.029 0.000 0.000
0.000 2.728 0.000
-0.819 0.000 4.657
Re Tc
4 4
Direct
0.125 0.000 0.372
0.375 0.500 0.628
0.625 0.500 0.372
0.875 0.000 0.628
0.125 0.500 0.877
0.375 0.000 0.123
0.625 0.000 0.877
0.875 0.500 0.123
```

Results
Energy relative to the elements: 0.062 eV per atom
Raw total energy: -12.24 eV per atom
Energy above the most stable polymorph in this dataset: 69 meV/atom
Space group: C2/m (12)

> Number 2 is which compound?

Li2AgHg